! PBEsol FeSi, optimized geometry; values from VASP
&SYSTEM
  ibrav = 0, nat = 8, ntyp = 2
/
ATOMIC_SPECIES
Fe 55.84 Fe.upf
Si 28.09 Si.upf
CELL_PARAMETERS angstrom
4.399 0.000 0.000
0.000 4.399 0.000
0.000 0.000 4.399
ATOMIC_POSITIONS angstrom
Fe 0.495 1.704 2.695
Fe 1.704 2.695 0.495
Fe 2.695 0.495 1.704
Fe 3.904 3.904 3.904
Si 0.401 3.998 1.798
Si 1.798 0.401 3.998
Si 2.601 2.601 2.601
Si 3.998 1.798 0.401
! ΔE_f (raw)   -0.633 eV/atom
! Crystal system   cubic
! Raw total energy   -7.989 eV per atom